Crystalline TcBPb2Se at its relaxed geometry. Source: Alexandria, functional GGA-PBE.

```
data_TcBPb2Se
_symmetry_space_group_name_H-M 'P 4/m m m'
_symmetry_Int_Tables_number 123
_symmetry_space_group_name_Hall '-P 4 2'
_cell_length_a 5.770
_cell_length_b 5.770
_cell_length_c 4.574
_cell_angle_alpha 90.00
_cell_angle_beta 90.00
_cell_angle_gamma 90.00
loop_
_atom_site_label
_atom_site_type_symbol
_atom_site_fract_x
_atom_site_fract_y
_atom_site_fract_z
Tc1 Tc 0.000 0.000 0.000
B1 B 0.500 0.500 0.000
Pb1 Pb 0.000 0.500 0.500
Se1 Se 0.000 0.000 0.500
```

**Raw formation energy**: 1.594 eV per atom
**Spin magnetization**: 1.692 μB per formula unit



Crystalline Fe2Ru at its relaxed geometry. Source: Alexandria, functional GGA-PBE.

```
data_Fe2Ru
_symmetry_space_group_name_H-M 'I 41/a m d'
_symmetry_Int_Tables_number 141
_cell_length_a 2.599
_cell_length_b 2.599
_cell_length_c 22.931
_cell_angle_alpha 90.00
_cell_angle_beta 90.00
_cell_angle_gamma 90.00
loop_
_symmetry_equiv_pos_as_xyz
'x,y,z'
'-x,-y,-z'
'-y+1/4,x+3/4,z+1/4'
'y+1/4,-x+3/4,-z+1/4'
'-x+1/2,-y,z+1/2'
'x+1/2,y,-z+1/2'
'y+1/4,-x+1/4,z+3/4'
'-y+1/4,x+1/4,-z+3/4'
'x,-y,-z'
'-x,y,z'
'-y+1/4,-x+1/4,-z+3/4'
'y+1/4,x+1/4,z+3/4'
'-x+1/2,y,-z+1/2'
'x+1/2,-y,z+1/2'
'y+1/4,x+3/4,-z+1/4'
'-y+1/4,-x+3/4,z+1/4'
'x+1/2,y+1/2,z+1/2'
'-x+1/2,-y+1/2,-z+1/2'
'-y+3/4,x+1/4,z+3/4'
'y+3/4,-x+1/4,-z+3/4'
'-x,-y+1/2,z'
'x,y+1/2,-z'
'y+3/4,-x+3/4,z+1/4'
'-y+3/4,x+3/4,-z+1/4'
'x+1/2,-y+1/2,-z+1/2'
'-x+1/2,y+1/2,z+1/2'
'-y+3/4,-x+3/4,-z+1/4'
'y+3/4,x+3/4,z+1/4'
'-x,y+1/2,-z'
'x,-y+1/2,z'
'y+3/4,x+1/4,-z+3/4'
'-y+3/4,-x+1/4,z+3/4'
loop_
_atom_site_label
_atom_site_type_symbol
_atom_site_fract_x
_atom_site_fract_y
_atom_site_fract_z
Fe1 Fe 0.000 0.250 0.295
Ru1 Ru 0.000 0.250 0.875
```

**Formation enthalpy at 0 K**: 93 kJ/mol of formula units
**Spin magnetization**: 3.965 μB per formula unit



Crystalline FeNi2Os at its relaxed geometry. Source: Alexandria, functional GGA-PBE.

```
data_FeNi2Os
_symmetry_space_group_name_H-M 'R 3 m'
_symmetry_Int_Tables_number 160
_symmetry_space_group_name_Hall 'R 3 -2"'
_cell_length_a 2.6203
_cell_length_b 2.6203
_cell_length_c 24.8155
_cell_angle_alpha 90.00
_cell_angle_beta 90.00
_cell_angle_gamma 120.00
loop_
_atom_site_label
_atom_site_type_symbol
_atom_site_fract_x
_atom_site_fract_y
_atom_site_fract_z
Fe1 Fe 0.0000 0.0000 0.0000
Ni1 Ni 0.0000 0.0000 0.4154
Ni2 Ni 0.0000 0.0000 0.5850
Os1 Os 0.0000 0.0000 0.8337
```

**Formation enthalpy at 0 K**: 45 kJ/mol of formula units
**Spin magnetization**: 3.605 μB per formula unit
**Offset from the most stable computed form**: 50 meV per atom



Crystalline PrAlTl2 at its relaxed geometry. Source: Alexandria, functional GGA-PBE.

```
data_PrAlTl2
_symmetry_space_group_name_H-M 'P 4/m m m'
_symmetry_Int_Tables_number 123
_symmetry_space_group_name_Hall '-P 4 2'
_cell_length_a 4.701
_cell_length_b 4.701
_cell_length_c 4.754
_cell_angle_alpha 90.00
_cell_angle_beta 90.00
_cell_angle_gamma 90.00
loop_
_atom_site_label
_atom_site_type_symbol
_atom_site_fract_x
_atom_site_fract_y
_atom_site_fract_z
Pr1 Pr 0.000 0.000 0.000
Al1 Al 0.500 0.500 0.000
Tl1 Tl 0.000 0.500 0.500
```

**Formation enthalpy at 0 K**: -99 kJ/mol of formula units
**Spin magnetization**: 0.000 μB per formula unit
**Offset from the most stable computed form**: 0 meV per atom



Crystalline Dy2Tl2TeO6 at its relaxed geometry. Source: Alexandria, functional GGA-PBE.

```
data_Dy2Tl2TeO6
_symmetry_space_group_name_H-M 'C 1 2/m 1'
_symmetry_Int_Tables_number 12
_symmetry_space_group_name_Hall '-C 2y'
_cell_length_a 6.004
_cell_length_b 10.356
_cell_length_c 6.866
_cell_angle_alpha 90.00
_cell_angle_beta 106.66
_cell_angle_gamma 90.00
loop_
_atom_site_label
_atom_site_type_symbol
_atom_site_fract_x
_atom_site_fract_y
_atom_site_fract_z
Dy1 Dy 0.000 0.166 0.000
Tl1 Tl 0.000 0.333 0.500
Te1 Te 0.000 0.500 0.000
O1 O 0.216 0.336 0.166
O2 O 0.235 0.000 0.167
```

**Raw formation energy**: -1.964 eV per atom
**Spin magnetization**: 0.000 μB per formula unit



Crystalline YW at its relaxed geometry. Source: Alexandria, functional GGA-PBE.

```
data_YW
_symmetry_space_group_name_H-M 'P 21 3'
_symmetry_Int_Tables_number 198
_symmetry_space_group_name_Hall 'P 2ac 2ab 3'
_cell_length_a 5.615
_cell_length_b 5.615
_cell_length_c 5.615
_cell_angle_alpha 90.00
_cell_angle_beta 90.00
_cell_angle_gamma 90.00
loop_
_atom_site_label
_atom_site_type_symbol
_atom_site_fract_x
_atom_site_fract_y
_atom_site_fract_z
Y1 Y 0.097 0.097 0.097
W1 W 0.103 0.603 0.897
```

**Formation enthalpy at 0 K**: 207 kJ/mol of formula units
**Spin magnetization**: 0.002 μB per formula unit
**Offset from the most stable computed form**: 822 meV per atom



Crystalline PmSm6In2 at its relaxed geometry. Source: Alexandria, functional GGA-PBE.

```
data_PmSm6In2
_symmetry_space_group_name_H-M 'C 1 2/m 1'
_symmetry_Int_Tables_number 12
_symmetry_space_group_name_Hall '-C 2y'
_cell_length_a 13.020
_cell_length_b 3.847
_cell_length_c 12.062
_cell_angle_alpha 90.00
_cell_angle_beta 108.35
_cell_angle_gamma 90.00
loop_
_atom_site_label
_atom_site_type_symbol
_atom_site_fract_x
_atom_site_fract_y
_atom_site_fract_z
Pm1 Pm 0.000 0.000 0.000
Sm1 Sm 0.012 0.000 0.339
Sm2 Sm 0.187 0.500 0.875
Sm3 Sm 0.191 0.500 0.585
In1 In 0.143 0.500 0.209
```

**Formation enthalpy at 0 K**: -170 kJ/mol of formula units
**Spin magnetization**: 0.000 μB per formula unit
**Offset from the most stable computed form**: 0 meV per atom



Crystalline SrCo3Pd at its relaxed geometry. Source: Alexandria, functional GGA-PBE.

```
data_SrCo3Pd
_symmetry_space_group_name_H-M 'P m -3 m'
_symmetry_Int_Tables_number 221
_symmetry_space_group_name_Hall '-P 4 2 3'
_cell_length_a 4.718
_cell_length_b 4.718
_cell_length_c 4.718
_cell_angle_alpha 90.00
_cell_angle_beta 90.00
_cell_angle_gamma 90.00
loop_
_atom_site_label
_atom_site_type_symbol
_atom_site_fract_x
_atom_site_fract_y
_atom_site_fract_z
Sr1 Sr 0.000 0.000 0.000
Co1 Co 0.000 0.500 0.500
Pd1 Pd 0.500 0.500 0.500
```

**Formation enthalpy at 0 K**: 375 kJ/mol of formula units
**Spin magnetization**: 5.976 μB per formula unit
**Offset from the most stable computed form**: 0 meV per atom



Crystalline Ru2PbW at its relaxed geometry. Source: Alexandria, functional GGA-PBE.

```
data_Ru2PbW
_symmetry_space_group_name_H-M 'C m m m'
_symmetry_Int_Tables_number 65
_symmetry_space_group_name_Hall '-C 2 2'
_cell_length_a 6.038
_cell_length_b 7.275
_cell_length_c 3.021
_cell_angle_alpha 90.00
_cell_angle_beta 90.00
_cell_angle_gamma 90.00
loop_
_atom_site_label
_atom_site_type_symbol
_atom_site_fract_x
_atom_site_fract_y
_atom_site_fract_z
Ru1 Ru 0.250 0.250 0.000
Pb1 Pb 0.000 0.000 0.500
W1 W 0.000 0.500 0.500
```

**Formation enthalpy at 0 K**: 203 kJ/mol of formula units
**Spin magnetization**: 0.000 μB per formula unit



Crystalline SrYTe2O8 at its relaxed geometry. Source: Alexandria, functional GGA-PBE.

```
data_SrYTe2O8
_symmetry_space_group_name_H-M 'I -4'
_symmetry_Int_Tables_number 82
_symmetry_space_group_name_Hall 'I -4'
_cell_length_a 5.412
_cell_length_b 5.412
_cell_length_c 11.678
_cell_angle_alpha 90.00
_cell_angle_beta 90.00
_cell_angle_gamma 90.00
loop_
_atom_site_label
_atom_site_type_symbol
_atom_site_fract_x
_atom_site_fract_y
_atom_site_fract_z
Sr1 Sr 0.000 0.000 0.000
Y1 Y 0.000 0.500 0.750
Te1 Te 0.000 0.000 0.500
Te2 Te 0.000 0.500 0.250
O1 O 0.155 0.257 0.593
O2 O 0.173 0.741 0.169
```

**Raw formation energy**: -1.824 eV per atom
**Spin magnetization**: 0.859 μB per formula unit



Crystalline La2TaRePd at its relaxed geometry. Source: Alexandria, functional GGA-PBE.

```
data_La2TaRePd
_symmetry_space_group_name_H-M 'P 4/m m m'
_symmetry_Int_Tables_number 123
_symmetry_space_group_name_Hall '-P 4 2'
_cell_length_a 5.500
_cell_length_b 5.500
_cell_length_c 4.687
_cell_angle_alpha 90.00
_cell_angle_beta 90.00
_cell_angle_gamma 90.00
loop_
_atom_site_label
_atom_site_type_symbol
_atom_site_fract_x
_atom_site_fract_y
_atom_site_fract_z
La1 La 0.000 0.500 0.000
Ta1 Ta 0.000 0.000 0.000
Re1 Re 0.500 0.500 0.500
Pd1 Pd 0.000 0.000 0.500
```

**Formation enthalpy at 0 K**: 694 kJ/mol of formula units
**Spin magnetization**: 0.003 μB per formula unit
**Offset from the most stable computed form**: 195 meV per atom



Crystalline AlRe2Si2 at its relaxed geometry. Source: Alexandria, functional GGA-PBE.

```
data_AlRe2Si2
_symmetry_space_group_name_H-M 'P 4/m b m'
_symmetry_Int_Tables_number 127
_symmetry_space_group_name_Hall '-P 4 2ab'
_cell_length_a 6.874
_cell_length_b 6.874
_cell_length_c 3.104
_cell_angle_alpha 90.00
_cell_angle_beta 90.00
_cell_angle_gamma 90.00
loop_
_atom_site_label
_atom_site_type_symbol
_atom_site_fract_x
_atom_site_fract_y
_atom_site_fract_z
Al1 Al 0.000 0.000 0.000
Re1 Re 0.149 0.351 0.000
Si1 Si 0.146 0.646 0.500
```

**Raw formation energy**: -0.065 eV per atom
**Spin magnetization**: 0.000 μB per formula unit
**Offset from the most stable computed form**: 0 meV per atom